Record 1
Density functional theory data (GGA-PBE) for NdY2Ho4Tm2 after structural relaxation.

The structure in POSCAR format:
```
NdY2Ho4Tm2
1.0
5.9895 0.0000 0.0000
2.9275 5.9376 0.0000
2.8942 0.2752 8.0780
Nd Y Ho Tm
1 2 4 2
direct
0.0000 0.0000 0.0000
0.2687 0.6724 0.6556
0.7313 0.3276 0.3444
0.2700 0.4173 0.1196
0.3766 0.8712 0.2427
0.6234 0.1288 0.7573
0.7300 0.5827 0.8804
0.1834 0.2269 0.5541
0.8166 0.7731 0.4459
```

Output
Space group = P-1 (2)
Total magnetization = 0.0 Bohr magnetons per cell
Raw total energy = -4.911 eV/atom



Record 2
Density functional theory data (GGA-PBE) for Nd5YHo2Tm after structural relaxation.

The structure in POSCAR format:
```
Nd5YHo2Tm
1.0
2.8230 -10.2451 0.0000
2.8230 10.2451 0.0000
0.0000 0.0000 10.6642
Nd Y Ho Tm
10 2 4 2
direct
0.0152 0.9848 0.5000
0.2784 0.7216 0.7983
0.2969 0.7031 0.1931
0.3830 0.6170 0.5051
0.4840 0.5160 0.2291
0.5160 0.4840 0.7291
0.6170 0.3830 0.0051
0.7031 0.2969 0.6931
0.7216 0.2784 0.2983
0.9848 0.0152 0.0000
0.4064 0.5936 0.9487
0.5936 0.4064 0.4487
0.1135 0.8865 0.2234
0.1142 0.8858 0.7909
0.8858 0.1142 0.2909
0.8865 0.1135 0.7234
0.1988 0.8012 0.4960
0.8012 0.1988 0.9960
```

Output
Space group = Cmc2_1 (36)
Total magnetization = 0.0 Bohr magnetons per cell
Raw total energy = -4.734 eV/atom



Record 3
Density functional theory data (GGA-PBE) for Nd5Y2HoTm after structural relaxation.

The structure in POSCAR format:
```
Nd5Y2HoTm
1.0
2.8342 -10.2168 0.0000
2.8342 10.2168 0.0000
0.0000 0.0000 10.6827
Nd Y Ho Tm
10 4 2 2
direct
0.0164 0.9836 0.5000
0.1150 0.8850 0.7758
0.2031 0.7969 0.4615
0.2198 0.7802 0.0683
0.4829 0.5171 0.7718
0.5171 0.4829 0.2718
0.7802 0.2198 0.5683
0.7969 0.2031 0.9615
0.8850 0.1150 0.2758
0.9836 0.0164 0.0000
0.3853 0.6147 0.0652
0.3874 0.6126 0.4925
0.6126 0.3874 0.9925
0.6147 0.3853 0.5652
0.0925 0.9075 0.2199
0.9075 0.0925 0.7199
0.3008 0.6992 0.7658
0.6992 0.3008 0.2658
```

Output
Space group = Cmc2_1 (36)
Total magnetization = 0.0 Bohr magnetons per cell
Raw total energy = -4.951 eV/atom



Record 4
Density functional theory data (GGA-PBE) for NdYHoTm after structural relaxation.

The structure in POSCAR format:
```
NdYHoTm
1.0
6.1991 -2.9208 0.0000
6.1991 2.9208 0.0000
-1.1351 0.0000 3.5830
Nd Y Ho Tm
1 1 1 1
direct
0.0000 0.0000 0.0000
0.2651 0.2651 0.7650
0.5122 0.5122 0.5120
0.7498 0.7498 0.2499
```

Output
Space group = Cm (8)
Total magnetization = 0.0 Bohr magnetons per cell
Raw total energy = -4.951 eV/atom



Record 5
Density functional theory data (GGA-PBE) for Nd2YHoTm6 after structural relaxation.

The structure in POSCAR format:
```
Nd2YHoTm6
1.0
4.4696 -7.4817 0.0000
4.4696 7.4817 0.0000
-1.4968 0.0000 9.4886
Nd Y Ho Tm
4 2 2 12
direct
0.1938 0.2999 0.0432
0.2999 0.1938 0.5432
0.7001 0.8062 0.4568
0.8062 0.7001 0.9568
0.0183 0.9817 0.2500
0.9817 0.0183 0.7500
0.4065 0.5935 0.7500
0.5935 0.4065 0.2500
0.0237 0.5758 0.1867
0.1267 0.7438 0.5574
0.2562 0.8733 0.9426
0.2910 0.5024 0.3814
0.4242 0.9763 0.3133
0.4976 0.7090 0.1186
0.5024 0.2910 0.8814
0.5758 0.0237 0.6867
0.7090 0.4976 0.6186
0.7438 0.1267 0.0574
0.8733 0.2562 0.4426
0.9763 0.4242 0.8133
```

Output
Space group = C2/c (15)
Total magnetization = 0.0 Bohr magnetons per cell
Raw total energy = -4.624 eV/atom



Record 6
Density functional theory data (GGA-PBE) for Nd6YHoTm2 after structural relaxation.

The structure in POSCAR format:
```
Nd6YHoTm2
1.0
4.6223 -7.6681 0.0000
4.6223 7.6681 0.0000
-1.2248 0.0000 9.5594
Nd Y Ho Tm
12 2 2 4
direct
0.0101 0.5627 0.1872
0.1174 0.7622 0.5534
0.2378 0.8826 0.9466
0.2922 0.5083 0.3816
0.4373 0.9899 0.3128
0.4917 0.7078 0.1184
0.5083 0.2922 0.8816
0.5627 0.0101 0.6872
0.7078 0.4917 0.6184
0.7622 0.1174 0.0534
0.8826 0.2378 0.4466
0.9899 0.4373 0.8128
0.0275 0.9725 0.2500
0.9725 0.0275 0.7500
0.4112 0.5888 0.7500
0.5888 0.4112 0.2500
0.2004 0.3002 0.0460
0.3002 0.2004 0.5460
0.6998 0.7996 0.4540
0.7996 0.6998 0.9540
```

Output
Space group = C2/c (15)
Total magnetization = 0.0 Bohr magnetons per cell
Raw total energy = -4.745 eV/atom



Number 1: ΔH_f (0 K) 83 meV/atom. Number 2: ΔH_f (0 K) 147 meV/atom. Number 3: ΔH_f (0 K) 139 meV/atom. Number 4: ΔH_f (0 K) 120 meV/atom. Number 5: ΔH_f (0 K) 117 meV/atom. Number 6: ΔH_f (0 K) 114 meV/atom.